# 1
Tb8DyIn2 GGA-PBE optimized geometry; formation energy = -0.5 eV/f.u.; total magnetization = 0.0 μB per formula unit; final energy = -0.15899 Ha/atom; N(E_F) = 1.35 states/eV per atom; crystal system = monoclinic
1.0
4.4204 -7.6179 0.0000
4.4204 7.6179 0.0000
-2.5471 0.0000 5.0869
Tb Dy In
8 1 2
Direct
0.0947 0.3243 0.6270
0.2155 0.7845 0.0000
0.3243 0.0947 0.6270
0.4067 0.4067 0.2050
0.5933 0.5933 0.7950
0.6757 0.9053 0.3730
0.7845 0.2155 0.0000
0.9053 0.6757 0.3730
0.0000 0.0000 0.0000
0.3067 0.6933 0.5000
0.6933 0.3067 0.5000

# 2
Tb2Dy4In GGA-PBE optimized geometry; formation energy = -0.2 eV/f.u.; total magnetization = 0.0 μB per formula unit; polymorph energy (0 for the lowest one) = 8 meV/atom; final energy = -0.16074 Ha/atom; N(E_F) = 1.36 states/eV per atom; crystal system = monoclinic
1.0
5.7369 0.0000 0.0000
0.0000 6.6672 0.0000
-2.7213 0.0000 11.1806
Tb Dy In
4 8 2
Direct
0.0411 0.2500 0.4773
0.3336 0.7500 0.0742
0.6664 0.2500 0.9258
0.9589 0.7500 0.5227
0.1587 0.0075 0.7868
0.1587 0.4925 0.7868
0.2214 0.2500 0.0665
0.3914 0.7500 0.3718
0.6086 0.2500 0.6282
0.7786 0.7500 0.9335
0.8413 0.5075 0.2132
0.8413 0.9925 0.2132
0.4651 0.2500 0.3394
0.5349 0.7500 0.6606

# 3
Tb3Dy2In4 GGA-PBE optimized geometry; formation energy = -3.7 eV/f.u.; total magnetization = 0.0 μB per formula unit; polymorph energy (0 for the lowest one) = 0 meV/atom; final energy = -0.15426 Ha/atom; N(E_F) = 0.86 states/eV per atom; crystal system = trigonal
1.0
5.2855 0.0000 0.0000
-2.6428 4.5774 0.0000
0.0000 0.0000 10.2359
Tb Dy In
3 2 4
Direct
0.0000 0.0000 0.0000
0.3333 0.6667 0.4242
0.6667 0.3333 0.5758
0.3333 0.6667 0.7769
0.6667 0.3333 0.2231
0.0000 0.0000 0.3456
0.0000 0.0000 0.6544
0.3333 0.6667 0.1003
0.6667 0.3333 0.8997

# 4
Tb12Dy2In GGA-PBE optimized geometry; formation energy = 0.7 eV/f.u.; total magnetization = 0.0 μB per formula unit; final energy = -0.16364 Ha/atom; N(E_F) = 1.26 states/eV per atom; crystal system = monoclinic
1.0
3.5533 -5.6388 0.0000
3.5533 5.6388 0.0000
-3.4432 0.0000 23.7628
Tb Dy In
24 4 2
Direct
0.0043 0.0043 0.4003
0.0867 0.6088 0.9431
0.1038 0.1038 0.9283
0.1159 0.5738 0.4355
0.1422 0.7110 0.6931
0.2184 0.7025 0.1748
0.2890 0.8578 0.3069
0.2975 0.7816 0.8252
0.3912 0.9133 0.0569
0.4230 0.4230 0.0794
0.4262 0.8841 0.5645
0.4842 0.4842 0.3500
0.5158 0.5158 0.6500
0.5738 0.1159 0.4355
0.5770 0.5770 0.9206
0.6088 0.0867 0.9431
0.7025 0.2184 0.1748
0.7110 0.1422 0.6931
0.7816 0.2975 0.8252
0.8578 0.2890 0.3069
0.8841 0.4262 0.5645
0.8962 0.8962 0.0717
0.9133 0.3912 0.0569
0.9957 0.9957 0.5997
0.2236 0.2236 0.2127
0.2525 0.2525 0.7663
0.7475 0.7475 0.2337
0.7764 0.7764 0.7873
0.3084 0.3084 0.5173
0.6916 0.6916 0.4827

# 5
Tb4DyIn GGA-PBE optimized geometry; formation energy = -0.9 eV/f.u.; total magnetization = 0.0 μB per formula unit; polymorph energy (0 for the lowest one) = 0 meV/atom; final energy = -0.16386 Ha/atom; N(E_F) = 1.19 states/eV per atom; crystal system = tetragonal
1.0
3.5709 0.0000 0.0000
0.0000 3.5709 0.0000
0.0000 0.0000 14.3398
Tb Dy In
4 1 1
Direct
0.0000 0.0000 0.1479
0.0000 0.0000 0.8521
0.5000 0.5000 0.3248
0.5000 0.5000 0.6752
0.0000 0.0000 0.5000
0.5000 0.5000 0.0000

# 6
Tb2DyIn2 GGA-PBE optimized geometry; formation energy = -1.9 eV/f.u.; total magnetization = 0.0 μB per formula unit; polymorph energy (0 for the lowest one) = 0 meV/atom; final energy = -0.15622 Ha/atom; N(E_F) = 0.84 states/eV per atom; crystal system = monoclinic
1.0
3.7509 0.0000 0.0000
0.0000 5.3488 0.0000
-1.8795 0.0000 13.9202
Tb Dy In
4 2 4
Direct
0.0477 0.2500 0.0953
0.2369 0.2500 0.4738
0.7631 0.7500 0.5262
0.9523 0.7500 0.9047
0.1482 0.7500 0.2982
0.8518 0.2500 0.7018
0.3575 0.7500 0.7136
0.4493 0.2500 0.8990
0.5507 0.7500 0.1010
0.6425 0.2500 0.2864

# 7
Tb7Dy4In GGA-PBE optimized geometry; formation energy = -0.2 eV/f.u.; total magnetization = 0.0 μB per formula unit; polymorph energy (0 for the lowest one) = 0 meV/atom; final energy = -0.16473 Ha/atom; N(E_F) = 1.26 states/eV per atom; crystal system = triclinic
1.0
6.5176 0.0000 0.0000
0.9762 6.6216 0.0000
1.9773 0.6343 8.6702
Tb Dy In
7 4 1
Direct
0.0000 0.0000 0.0000
0.1534 0.6083 0.3168
0.1930 0.0998 0.3897
0.4638 0.2533 0.0460
0.5362 0.7467 0.9540
0.8070 0.9002 0.6103
0.8466 0.3917 0.6832
0.3069 0.7007 0.6574
0.3706 0.1929 0.7127
0.6294 0.8071 0.2873
0.6931 0.2993 0.3426
0.0000 0.5000 0.0000

# 8
Tb2Dy8In3 GGA-PBE optimized geometry; formation energy = 1.6 eV/f.u.; total magnetization = 2.2 μB per formula unit; final energy = -0.14905 Ha/atom; N(E_F) = 1.07 states/eV per atom; crystal system = trigonal
1.0
3.1983 1.8466 11.6146
-3.1983 1.8466 11.6146
0.0000 -3.6931 11.6146
Tb Dy In
2 8 3
Direct
0.1364 0.1364 0.1364
0.8636 0.8636 0.8636
0.2194 0.2194 0.7205
0.2194 0.7205 0.2194
0.2255 0.2255 0.2255
0.2795 0.7806 0.7806
0.7205 0.2194 0.2194
0.7745 0.7745 0.7745
0.7806 0.2795 0.7806
0.7806 0.7806 0.2795
0.3114 0.3114 0.3114
0.5000 0.5000 0.5000
0.6886 0.6886 0.6886

# 9
Tb5Dy6In GGA-PBE optimized geometry; formation energy = -0.7 eV/f.u.; total magnetization = 0.0 μB per formula unit; final energy = -0.16591 Ha/atom; N(E_F) = 1.35 states/eV per atom; crystal system = orthorhombic
1.0
-2.4693 4.9735 7.4948
2.4693 -4.9735 7.4948
2.4693 4.9735 -7.4948
Tb Dy In
5 6 1
Direct
0.0000 0.0000 0.0000
0.1633 0.6633 0.5000
0.3329 0.3329 0.0000
0.6671 0.6671 0.0000
0.8367 0.3367 0.5000
0.0880 0.8341 0.2539
0.2559 0.5000 0.7559
0.4198 0.1659 0.2539
0.5802 0.8341 0.7461
0.7441 0.5000 0.2441
0.9120 0.1659 0.7461
0.5000 0.0000 0.5000

# 10
TbDy8In2 GGA-PBE optimized geometry; formation energy = -0.4 eV/f.u.; total magnetization = 0.0 μB per formula unit; final energy = -0.15816 Ha/atom; N(E_F) = 1.37 states/eV per atom; crystal system = monoclinic
1.0
4.4111 -7.5816 0.0000
4.4111 7.5816 0.0000
-2.4822 0.0000 5.0821
Tb Dy In
1 8 2
Direct
0.0000 0.0000 0.0000
0.0947 0.3243 0.6257
0.2158 0.7842 0.0000
0.3243 0.0947 0.6257
0.4062 0.4062 0.2045
0.5938 0.5938 0.7955
0.6757 0.9053 0.3743
0.7842 0.2158 0.0000
0.9053 0.6757 0.3743
0.3067 0.6933 0.5000
0.6933 0.3067 0.5000

# 11
Tb4Dy2In GGA-PBE optimized geometry; formation energy = -0.5 eV/f.u.; total magnetization = 0.0 μB per formula unit; polymorph energy (0 for the lowest one) = 0 meV/atom; final energy = -0.16275 Ha/atom; N(E_F) = 1.55 states/eV per atom; crystal system = trigonal
1.0
1.8073 1.0435 19.3117
-1.8073 1.0435 19.3117
0.0000 -2.0869 19.3117
Tb Dy In
4 2 1
Direct
0.0933 0.0933 0.0933
0.2898 0.2898 0.2898
0.7102 0.7102 0.7102
0.9067 0.9067 0.9067
0.1910 0.1910 0.1910
0.8090 0.8090 0.8090
0.0000 0.0000 0.0000

# 12
Tb2Dy2In3 GGA-PBE optimized geometry; formation energy = -2.3 eV/f.u.; total magnetization = 0.6 μB per formula unit; polymorph energy (0 for the lowest one) = 8 meV/atom; final energy = -0.15240 Ha/atom; N(E_F) = 0.92 states/eV per atom; crystal system = monoclinic
1.0
16.0456 -1.7470 0.0000
16.0456 1.7470 0.0000
-0.0034 0.0000 3.5028
Tb Dy In
2 2 3
Direct
0.0677 0.0677 0.0003
0.9323 0.9323 0.9997
0.2014 0.2014 0.0014
0.7986 0.7986 0.9986
0.3641 0.3641 0.4993
0.5000 0.5000 0.5000
0.6359 0.6359 0.5007

# 13
Tb2Dy8In GGA-PBE optimized geometry; formation energy = 0.0 eV/f.u.; total magnetization = 0.0 μB per formula unit; polymorph energy (0 for the lowest one) = 56 meV/atom; final energy = -0.16297 Ha/atom; N(E_F) = 1.34 states/eV per atom; crystal system = orthorhombic
1.0
-2.7020 3.7781 8.5651
2.7020 -3.7781 8.5651
2.7020 3.7781 -8.5651
Tb Dy In
2 8 1
Direct
0.1935 0.1935 0.0000
0.8065 0.8065 0.0000
0.0931 0.3626 0.7304
0.2403 0.0000 0.2403
0.3198 0.8198 0.5000
0.3678 0.6374 0.7304
0.6322 0.3626 0.2696
0.6802 0.1802 0.5000
0.7597 0.0000 0.7597
0.9069 0.6374 0.2696
0.5000 0.5000 0.0000

# 14
Tb6DyIn GGA-PBE optimized geometry; formation energy = -0.9 eV/f.u.; total magnetization = 0.0 μB per formula unit; final energy = -0.16567 Ha/atom; N(E_F) = 1.11 states/eV per atom; crystal system = tetragonal
1.0
4.9131 0.0000 0.0000
0.0000 4.9131 0.0000
0.0000 0.0000 10.0476
Tb Dy In
6 1 1
Direct
0.0000 0.0000 0.0000
0.0000 0.0000 0.5000
0.0000 0.5000 0.2442
0.0000 0.5000 0.7558
0.5000 0.0000 0.2442
0.5000 0.0000 0.7558
0.5000 0.5000 0.5000
0.5000 0.5000 0.0000

# 15
Tb5DyIn2 GGA-PBE optimized geometry; formation energy = -2.2 eV/f.u.; total magnetization = 0.0 μB per formula unit; polymorph energy (0 for the lowest one) = 0 meV/atom; final energy = -0.16259 Ha/atom; N(E_F) = 1.37 states/eV per atom; crystal system = orthorhombic
1.0
6.8750 0.0000 0.0000
0.0000 13.7511 0.0000
0.0000 0.0000 4.8458
Tb Dy In
10 2 4
Direct
0.0000 0.0000 0.0000
0.0001 0.2503 0.0000
0.9999 0.7497 0.0000
0.2501 0.1248 0.5000
0.2499 0.6248 0.5000
0.5001 0.2497 0.0000
0.5000 0.5000 0.0000
0.4999 0.7503 0.0000
0.7501 0.3752 0.5000
0.7499 0.8752 0.5000
0.0000 0.5000 0.0000
0.5000 0.0000 0.0000
0.2496 0.3752 0.5000
0.2504 0.8752 0.5000
0.7496 0.1248 0.5000
0.7504 0.6248 0.5000

# 16
Tb4DyIn GGA-PBE optimized geometry; formation energy = -0.4 eV/f.u.; total magnetization = 0.0 μB per formula unit; polymorph energy (0 for the lowest one) = 77 meV/atom; final energy = -0.16105 Ha/atom; N(E_F) = 1.47 states/eV per atom; crystal system = orthorhombic
1.0
2.7649 -8.5244 0.0000
2.7649 8.5244 0.0000
0.0000 0.0000 7.6673
Tb Dy In
8 2 2
Direct
0.0023 0.9977 0.5000
0.1517 0.8483 0.2436
0.3255 0.6745 0.4851
0.4902 0.5098 0.7498
0.5098 0.4902 0.2498
0.6745 0.3255 0.9851
0.8483 0.1517 0.7436
0.9977 0.0023 0.0000
0.3269 0.6731 0.0099
0.6731 0.3269 0.5099
0.1651 0.8349 0.7503
0.8349 0.1651 0.2503

# 17
Tb5Dy8In GGA-PBE optimized geometry; formation energy = 2.6 eV/f.u.; total magnetization = 0.0 μB per formula unit; final energy = -0.15782 Ha/atom; N(E_F) = 1.24 states/eV per atom; crystal system = tetragonal
1.0
-4.7956 4.7956 4.9375
4.7956 -4.7956 4.9375
4.7956 4.7956 -4.9375
Tb Dy In
5 8 1
Direct
0.0000 0.0000 0.0000
0.2095 0.5205 0.8926
0.4795 0.3721 0.6890
0.6279 0.3168 0.1074
0.6832 0.7905 0.3110
0.1603 0.0620 0.7285
0.3336 0.4318 0.2715
0.4155 0.0214 0.2588
0.5682 0.8397 0.9017
0.7626 0.1567 0.7412
0.8433 0.5845 0.6059
0.9380 0.6664 0.0983
0.9786 0.2374 0.3941
0.2500 0.7500 0.5000

# 18
TbDy6In GGA-PBE optimized geometry; formation energy = -0.9 eV/f.u.; total magnetization = 0.0 μB per formula unit; final energy = -0.16495 Ha/atom; N(E_F) = 1.06 states/eV per atom; crystal system = tetragonal
1.0
4.8987 0.0000 0.0000
0.0000 4.8987 0.0000
0.0000 0.0000 10.0106
Tb Dy In
1 6 1
Direct
0.0000 0.0000 0.0000
0.0000 0.5000 0.2560
0.0000 0.5000 0.7440
0.5000 0.0000 0.2560
0.5000 0.0000 0.7440
0.5000 0.5000 0.0000
0.5000 0.5000 0.5000
0.0000 0.0000 0.5000

# 19
Tb3DyIn2 GGA-PBE optimized geometry; formation energy = 0.6 eV/f.u.; total magnetization = 0.0 μB per formula unit; polymorph energy (0 for the lowest one) = 454 meV/atom; final energy = -0.14334 Ha/atom; N(E_F) = 1.29 states/eV per atom; crystal system = orthorhombic
1.0
-1.7015 2.8304 9.3657
1.7015 -2.8304 9.3657
1.7015 2.8304 -9.3657
Tb Dy In
3 1 2
Direct
0.0000 0.0000 0.0000
0.3141 0.8141 0.5000
0.6859 0.1859 0.5000
0.5000 0.0000 0.5000
0.1459 0.6459 0.5000
0.8541 0.3541 0.5000

# 20
Tb7Dy3In2 GGA-PBE optimized geometry; formation energy = 1.4 eV/f.u.; total magnetization = 0.0 μB per formula unit; final energy = -0.15408 Ha/atom; N(E_F) = 1.82 states/eV per atom; crystal system = trigonal
1.0
3.2885 1.8986 10.4079
-3.2885 1.8986 10.4079
0.0000 -3.7973 10.4079
Tb Dy In
7 3 2
Direct
0.0000 0.0000 0.0000
0.0825 0.0825 0.5784
0.0825 0.5784 0.0825
0.4216 0.9175 0.9175
0.5784 0.0825 0.0825
0.9175 0.4216 0.9175
0.9175 0.9175 0.4216
0.3576 0.3576 0.3576
0.5000 0.5000 0.5000
0.6424 0.6424 0.6424
0.1662 0.1662 0.1662
0.8338 0.8338 0.8338

# 21
Tb5Dy3In GGA-PBE optimized geometry; formation energy = 3.6 eV/f.u.; total magnetization = 0.0 μB per formula unit; final energy = -0.14719 Ha/atom; N(E_F) = 1.37 states/eV per atom; crystal system = monoclinic
1.0
6.7600 -3.9147 0.0000
6.7600 3.9147 0.0000
-1.1375 0.0000 11.3301
Tb Dy In
10 6 2
Direct
0.0053 0.0053 0.3689
0.1608 0.5851 0.2407
0.1685 0.8315 0.0000
0.2609 0.2609 0.9652
0.4149 0.8392 0.7593
0.5851 0.1608 0.2407
0.7391 0.7391 0.0348
0.8315 0.1685 0.0000
0.8392 0.4149 0.7593
0.9947 0.9947 0.6311
0.1645 0.1645 0.2148
0.2373 0.2373 0.5261
0.5000 0.5000 0.0000
0.5000 0.5000 0.5000
0.7627 0.7627 0.4739
0.8355 0.8355 0.7852
0.4033 0.4033 0.7431
0.5967 0.5967 0.2569